No. 1
Computed, not measured: crystalline TbHIBr at its relaxed geometry at the PBE-GGA level of DFT.

Output
Space-group type: Cm, No. 8
Crystal system: monoclinic
Calculated density in g/cm3: 5.72
Electronic total energy in Ry per atom: -0.3060
Density of states at the Fermi level in states/eV/atom: 0.000
Spin magnetization in μB/atom: 0.000

a b c (Å): 3.944 3.944 8.218
angles (deg): 90.07 103.81 120.00
Element x y z (fractional)
I1 0.347 0.039 0.386
Br1 0.008 0.868 0.876
H1 0.503 0.616 0.119
Tb1 0.833 0.281 0.115

---

No. 2
Computed, not measured: crystalline CeNdP2Pd2 at its relaxed geometry at the PBE-GGA level of DFT.

Output
Space-group type: P-3m1, No. 164
Crystal system: trigonal
Energy of formation from the pure elements in eV per atom: -1.215
Calculated density in g/cm3: 7.65
Electronic total energy in Ry per atom: -0.4802
Density of states at the Fermi level in states/eV/atom: 1.046
Spin magnetization in μB/atom: 0.176

a b c (Å): 4.218 4.218 7.876
angles (deg): 90.00 90.00 120.00
Site moments in Bohr magnetons follow the coordinates.
Element x y z (fractional)
Pd1 0.333 0.667 0.756  0.00
P1 0.667 0.333 0.751  -0.01
Ce1 0.000 0.000 0.000  0.76
Pd2 0.667 0.333 0.244  0.00
P2 0.333 0.667 0.249  -0.01
Nd1 0.000 0.000 0.500  0.05

---

What is the density of states at the Fermi level in the second record?
1.046 states/eV/atom

---

Repeat the second record exactly.
Computed, not measured: crystalline CeNdP2Pd2 at its relaxed geometry at the PBE-GGA level of DFT.

Output
Space-group type: P-3m1, No. 164
Crystal system: trigonal
Energy of formation from the pure elements in eV per atom: -1.215
Calculated density in g/cm3: 7.65
Electronic total energy in Ry per atom: -0.4802
Density of states at the Fermi level in states/eV/atom: 1.046
Spin magnetization in μB/atom: 0.176

a b c (Å): 4.218 4.218 7.876
angles (deg): 90.00 90.00 120.00
Site moments in Bohr magnetons follow the coordinates.
Element x y z (fractional)
Pd1 0.333 0.667 0.756  0.00
P1 0.667 0.333 0.751  -0.01
Ce1 0.000 0.000 0.000  0.76
Pd2 0.667 0.333 0.244  0.00
P2 0.333 0.667 0.249  -0.01
Nd1 0.000 0.000 0.500  0.05

---

What is the formula in the second record?
CeNdP2Pd2

---

The highest calculated density belongs to which entry?
CeNdP2Pd2